No. 1
Material: PrSiW
Method: DFT, PBE
State: optimized geometry

Cell lengths 6.8518, 6.8518, 6.8518 Å; angles 90.00, 90.00, 90.00 degrees
Last column: nearest neighbours and their distance in Å.
Space group F-43m (No. 216)
Inequivalent atoms, fractional coordinates:
1 Pr 0.0000 0.0000 0.0000 x4  4 W 2.97, 4 Si 2.97
2 Si 0.2500 0.2500 0.7500 x4  4 Pr 2.97
3 W 0.2500 0.2500 0.2500 x4  4 Pr 2.97

Values from the calculation:
* calculated total energy: -6.124 eV/atom

---

No. 2
Material: PrSiW
Method: DFT, PBE
State: optimized geometry

Cell lengths 6.4759, 6.4759, 6.4759 Å; angles 90.00, 90.00, 90.00 degrees
Last column: nearest neighbours and their distance in Å.
Space group F-43m (No. 216)
Inequivalent atoms, fractional coordinates:
1 Pr 0.0000 0.0000 0.0000 x4  4 Si 2.80
2 Si 0.2500 0.2500 0.2500 x4  4 W 2.80, 4 Pr 2.80
3 W 0.0000 0.0000 0.5000 x4  4 Si 2.80

Values from the calculation:
* calculated total energy: -7.231 eV/atom

---

No. 3
Material: PrY3Si
Method: DFT, PBE
State: optimized geometry

Cell lengths 7.6474, 20.9609, 4.5902 Å; angles 90.00, 90.00, 90.00 degrees
Last column: nearest neighbours and their distance in Å.
Space group Cmcm (No. 63)
Inequivalent atoms, fractional coordinates:
1 Pr 0.0000 0.2128 0.2500 x4  3 Y 3.34-3.52
2 Y 0.0000 0.3723 0.2500 x4  2 Si 2.91
3 Y 0.2101 0.0632 0.2500 x8  2 Si 2.83
4 Si 0.0000 0.5000 0.0000 x4  2 Si 2.30

Values from the calculation:
* calculated total energy: -5.510 eV/atom